Compound: Tm2UIn9
Source: Alexandria via LeMat-Bulk
Functional: PBE-GGA
Structure: optimized geometry

Properties
Theoretical density in g/cm3: 9.056
Formation energy from the elements in kJ/mol of formula units: -280
DOS(E_F) in states/eV/cell: 10.5

Cell lengths 4.608, 4.608, 13.896 Å; angles 90.00, 90.00, 90.00 degrees
Atoms (fractional coordinates):
Tm: 0.000 0.000 0.166
Tm: 0.000 0.000 0.834
U: 0.000 0.000 0.500
In: 0.000 0.500 0.000
In: 0.000 0.500 0.332
In: 0.000 0.500 0.668
In: 0.500 0.000 0.000
In: 0.500 0.000 0.332
In: 0.500 0.000 0.668
In: 0.500 0.500 0.167
In: 0.500 0.500 0.500
In: 0.500 0.500 0.833